# Na2YCrF8

A relaxed Na2YCrF8 crystal (PBE+U, Alexandria).

Cell: 5.029 6.719 5.203 Å, 90.00 91.39 90.00°
Sites, in units of the cell vectors:
Na  0.000  0.235  0.000
Na  0.000  0.765  0.000
Y  0.500  0.500  0.500
Cr  0.500  0.000  0.500
F  0.196  0.500  0.205
F  0.231  0.000  0.234
F  0.321  0.225  0.675
F  0.321  0.775  0.675
F  0.679  0.225  0.325
F  0.679  0.775  0.325
F  0.769  0.000  0.766
F  0.804  0.500  0.795

Values from the calculation:
The magnetization comes out at 3.000 μB/f.u. For the total energy, the calculation gives -5.82 eV per atom.